[1]
DFT (PBE) results for an optimized crystal structure of TcOsRu.

Calculated values
- formation enthalpy at 0 K (eV/atom) = 0.492
- SG = I4mm (107)
- excess energy over the best structure of this formula in the dataset (meV/atom) = 427

Lattice parameters (Å, degrees): 4.778 4.778 4.778 140.36 140.36 57.30
Last column: magnetic moment on the atom in μB.
Fractional positions:
Os: 0.002 0.002 0.000  0.22
Ru: 0.333 0.333 0.000  0.62
Tc: 0.665 0.665 0.000  0.09

[2]
DFT (PBE) results for an optimized crystal structure of TcOsRu2.

Calculated values
- formation enthalpy at 0 K (eV/atom) = 0.076
- SG = Cm (8)
- excess energy over the best structure of this formula in the dataset (meV/atom) = 137

Lattice parameters (Å, degrees): 4.705 4.705 4.715 80.55 80.55 33.52
Fractional positions:
Ru: 0.999 0.999 0.004
Os: 0.251 0.251 0.249
Tc: 0.500 0.500 0.500
Ru: 0.750 0.750 0.747

[3]
DFT (PBE) results for an optimized crystal structure of TcOsRu2.

Calculated values
- formation enthalpy at 0 K (eV/atom) = 0.082
- SG = P4mm (99)
- excess energy over the best structure of this formula in the dataset (meV/atom) = 144

Lattice parameters (Å, degrees): 2.719 2.719 7.684 90.00 90.00 90.00
Fractional positions:
Os: 0.500 0.500 0.754
Tc: 0.000 0.000 0.497
Ru: 0.000 0.000 0.998
Ru: 0.500 0.500 0.251

[4]
DFT (PBE) results for an optimized crystal structure of TcOsRu2.

Calculated values
- formation enthalpy at 0 K (eV/atom) = 0.547
- SG = F-43m (216)
- excess energy over the best structure of this formula in the dataset (meV/atom) = 608

Lattice parameters (Å, degrees): 4.350 4.350 4.350 60.00 60.00 60.00
Last column: magnetic moment on the atom in μB.
Fractional positions:
Ru: 0.250 0.250 0.250  0.49
Tc: 0.750 0.750 0.750  -0.08
Ru: 0.000 0.000 0.000  0.40
Os: 0.500 0.500 0.500  -0.01

[5]
DFT (PBE) results for an optimized crystal structure of TcOsRu2.

Calculated values
- formation enthalpy at 0 K (eV/atom) = 0.071
- SG = Cmmm (65)
- excess energy over the best structure of this formula in the dataset (meV/atom) = 132

Lattice parameters (Å, degrees): 4.704 4.704 2.717 90.00 90.00 109.30
Fractional positions:
Os: 0.000 0.500 0.500
Tc: 0.500 0.000 0.500
Ru: 0.500 0.500 0.000
Ru: 0.000 0.000 0.000

[6]
DFT (PBE) results for an optimized crystal structure of Tc2OsRu2.

Calculated values
- formation enthalpy at 0 K (eV/atom) = 0.314
- SG = P4/mbm (127)
- excess energy over the best structure of this formula in the dataset (meV/atom) = 0

Lattice parameters (Å, degrees): 7.290 7.290 2.777 90.00 90.00 90.00
Fractional positions:
Ru: 0.875 0.625 0.000
Tc: 0.827 0.327 0.500
Tc: 0.673 0.827 0.500
Os: 0.000 0.000 0.000
Ru: 0.125 0.375 0.000
Os: 0.500 0.500 0.000
Tc: 0.327 0.173 0.500
Tc: 0.173 0.673 0.500
Ru: 0.375 0.875 0.000
Ru: 0.625 0.125 0.000

[7]
DFT (PBE) results for an optimized crystal structure of Tc2Os5Ru.

Calculated values
- formation enthalpy at 0 K (eV/atom) = 0.068
- SG = Fmmm (69)

Lattice parameters (Å, degrees): 5.467 5.467 5.446 120.10 120.10 90.08
Fractional positions:
Os: 0.278 0.778 0.000
Os: 0.278 0.278 0.000
Os: 0.778 0.778 0.500
Os: 0.778 0.278 0.000
Tc: 0.778 0.278 0.500
Tc: 0.278 0.778 0.500
Os: 0.278 0.278 0.500
Ru: 0.778 0.778 0.000

[8]
DFT (PBE) results for an optimized crystal structure of TcOsRu2.

Calculated values
- formation enthalpy at 0 K (eV/atom) = 0.077
- SG = C2/m (12)
- excess energy over the best structure of this formula in the dataset (meV/atom) = 139

Lattice parameters (Å, degrees): 4.708 4.708 4.710 80.68 80.68 33.49
Fractional positions:
Ru: 0.501 0.501 0.499
Ru: 0.999 0.999 0.001
Tc: 0.750 0.750 0.750
Os: 0.250 0.250 0.250

[9]
DFT (PBE) results for an optimized crystal structure of TcOs2Ru.

Calculated values
- formation enthalpy at 0 K (eV/atom) = 0.624
- SG = Fm-3m (225)
- excess energy over the best structure of this formula in the dataset (meV/atom) = 682

Lattice parameters (Å, degrees): 4.359 4.359 4.359 60.00 60.00 60.00
Fractional positions:
Os: 0.750 0.750 0.750
Tc: 0.000 0.000 0.000
Ru: 0.500 0.500 0.500
Os: 0.250 0.250 0.250

[10]
DFT (PBE) results for an optimized crystal structure of TcOsRu2.

Calculated values
- formation enthalpy at 0 K (eV/atom) = 0.073
- SG = I4/mmm (139)
- excess energy over the best structure of this formula in the dataset (meV/atom) = 134

Lattice parameters (Å, degrees): 4.710 4.710 4.710 131.88 131.88 70.42
Fractional positions:
Ru: 0.500 0.500 0.000
Os: 0.750 0.250 0.500
Tc: 0.250 0.750 0.500
Ru: 0.000 0.000 0.000

[11]
DFT (PBE) results for an optimized crystal structure of Tc4Os3Ru2.

Calculated values
- formation enthalpy at 0 K (eV/atom) = 0.196
- SG = C2/c (15)

Lattice parameters (Å, degrees): 4.704 7.699 7.699 74.57 82.87 82.87
Fractional positions:
Os: 0.925 0.079 0.250
Os: 0.575 0.750 0.921
Tc: 0.012 0.803 0.099
Ru: 0.676 0.471 0.762
Tc: 0.158 0.571 0.863
Os: 0.750 0.589 0.411
Tc: 0.988 0.197 0.901
Ru: 0.176 0.762 0.471
Ru: 0.824 0.238 0.529
Os: 0.250 0.411 0.589
Tc: 0.342 0.137 0.429
Os: 0.425 0.250 0.079
Tc: 0.488 0.901 0.197
Os: 0.075 0.921 0.750
Tc: 0.512 0.099 0.803
Ru: 0.324 0.529 0.238
Tc: 0.842 0.429 0.137
Tc: 0.658 0.863 0.571

[12]
DFT (PBE) results for an optimized crystal structure of TcOsRu2.

Calculated values
- formation enthalpy at 0 K (eV/atom) = -0.061
- SG = Pmm2 (25)
- excess energy over the best structure of this formula in the dataset (meV/atom) = 0

Lattice parameters (Å, degrees): 4.347 2.739 4.742 90.00 90.00 90.00
Fractional positions:
Ru: 0.500 0.125 0.295
Os: 0.500 0.625 0.791
Tc: 0.000 0.625 0.461
Ru: 0.000 0.125 0.953

[13]
DFT (PBE) results for an optimized crystal structure of TcOs2Ru3.

Calculated values
- formation enthalpy at 0 K (eV/atom) = 0.086
- SG = C2/m (12)

Lattice parameters (Å, degrees): 6.656 3.844 9.407 65.83 61.77 54.69
Fractional positions:
Os: 0.334 0.333 0.582
Os: 0.334 0.333 0.082
Ru: 0.500 0.500 0.750
Ru: 0.833 0.833 0.584
Os: 0.666 0.667 0.918
Tc: 0.000 0.000 0.750
Ru: 0.833 0.833 0.084
Ru: 0.500 0.500 0.250
Os: 0.666 0.667 0.418
Tc: 0.000 0.000 0.250
Ru: 0.167 0.167 0.916
Ru: 0.167 0.167 0.416

[14]
DFT (PBE) results for an optimized crystal structure of TcOsRu2.

Calculated values
- formation enthalpy at 0 K (eV/atom) = 0.066
- SG = P4/mmm (123)
- excess energy over the best structure of this formula in the dataset (meV/atom) = 127

Lattice parameters (Å, degrees): 3.847 3.847 3.836 90.00 90.00 90.00
Fractional positions:
Tc: 0.500 0.000 0.500
Ru: 0.000 0.000 0.000
Os: 0.000 0.500 0.500
Ru: 0.500 0.500 0.000

[15]
DFT (PBE) results for an optimized crystal structure of TcOsRu.

Calculated values
- formation enthalpy at 0 K (eV/atom) = 0.092
- SG = P3m1 (156)
- excess energy over the best structure of this formula in the dataset (meV/atom) = 26

Lattice parameters (Å, degrees): 2.727 2.727 6.663 90.00 90.00 120.00
Fractional positions:
Ru: 0.667 0.333 0.334
Tc: 0.333 0.667 0.667
Os: 0.000 0.000 0.998

[16]
DFT (PBE) results for an optimized crystal structure of TcOs2Ru.

Calculated values
- formation enthalpy at 0 K (eV/atom) = 0.321
- SG = Imm2 (44)
- excess energy over the best structure of this formula in the dataset (meV/atom) = 379

Lattice parameters (Å, degrees): 2.792 5.047 5.047 104.57 73.95 73.95
Fractional positions:
Ru: 0.250 0.146 0.354
Os: 0.498 0.607 0.397
Tc: 0.750 0.644 0.856
Os: 0.002 0.103 0.893

[17]
DFT (PBE) results for an optimized crystal structure of TcOsRu.

Calculated values
- formation enthalpy at 0 K (eV/atom) = 0.667
- SG = F-43m (216)
- excess energy over the best structure of this formula in the dataset (meV/atom) = 602

Lattice parameters (Å, degrees): 4.154 4.154 4.154 60.00 60.00 60.00
Fractional positions:
Ru: 0.500 0.500 0.500
Os: 0.000 0.000 0.000
Tc: 0.750 0.750 0.750

[18]
DFT (PBE) results for an optimized crystal structure of Tc2OsRu3.

Calculated values
- formation enthalpy at 0 K (eV/atom) = 0.158
- SG = C2/m (12)

Lattice parameters (Å, degrees): 4.291 6.920 6.912 65.12 71.92 71.94
Fractional positions:
Tc: 0.750 0.583 0.916
Ru: 0.999 0.668 0.334
Tc: 0.250 0.417 0.084
Ru: 0.250 0.085 0.415
Os: 0.875 0.124 0.126
Tc: 0.499 0.835 0.167
Tc: 0.501 0.165 0.833
Ru: 0.625 0.378 0.371
Ru: 0.750 0.915 0.585
Os: 0.125 0.876 0.874
Ru: 0.375 0.622 0.629
Ru: 0.001 0.332 0.666

[19]
DFT (PBE) results for an optimized crystal structure of TcOs2Ru.

Calculated values
- formation enthalpy at 0 K (eV/atom) = 0.545
- SG = P4/mmm (123)
- excess energy over the best structure of this formula in the dataset (meV/atom) = 603

Lattice parameters (Å, degrees): 3.242 3.242 5.598 90.00 90.00 90.00
Last column: magnetic moment on the atom in μB.
Fractional positions:
Ru: 0.500 0.500 0.250  0.64
Os: 0.000 0.000 0.009  0.26
Os: 0.000 0.000 0.491  0.26
Tc: 0.500 0.500 0.750  0.02

[20]
DFT (PBE) results for an optimized crystal structure of TcOs2Ru.

Calculated values
- formation enthalpy at 0 K (eV/atom) = 0.068
- SG = P4/mmm (123)
- excess energy over the best structure of this formula in the dataset (meV/atom) = 126

Lattice parameters (Å, degrees): 3.848 3.848 3.861 90.00 90.00 90.00
Fractional positions:
Tc: 0.000 0.500 0.500
Ru: 0.500 0.000 0.500
Os: 0.000 0.000 0.000
Os: 0.500 0.500 0.000

[21]
DFT (PBE) results for an optimized crystal structure of Tc6Os2Ru.

Calculated values
- formation enthalpy at 0 K (eV/atom) = 0.131
- SG = C2/c (15)

Lattice parameters (Å, degrees): 6.805 6.965 6.805 65.17 84.13 65.17
Fractional positions:
Ru: 0.173 0.250 0.827
Os: 0.407 0.933 0.205
Tc: 0.820 0.184 0.981
Tc: 0.059 0.855 0.388
Tc: 0.019 0.316 0.180
Ru: 0.827 0.750 0.173
Tc: 0.597 0.450 0.345
Tc: 0.612 0.645 0.941
Tc: 0.180 0.816 0.019
Os: 0.205 0.433 0.407
Tc: 0.981 0.684 0.820
Os: 0.795 0.567 0.593
Tc: 0.388 0.355 0.059
Os: 0.593 0.067 0.795
Tc: 0.403 0.550 0.655
Tc: 0.655 0.050 0.403
Tc: 0.345 0.950 0.597
Tc: 0.941 0.145 0.612

[22]
DFT (PBE) results for an optimized crystal structure of TcOs2Ru.

Calculated values
- formation enthalpy at 0 K (eV/atom) = 0.092
- SG = P4mm (99)
- excess energy over the best structure of this formula in the dataset (meV/atom) = 150

Lattice parameters (Å, degrees): 2.723 2.723 7.717 90.00 90.00 90.00
Fractional positions:
Ru: 0.000 0.000 0.500
Tc: 0.500 0.500 0.748
Os: 0.000 0.000 0.003
Os: 0.500 0.500 0.249

[23]
DFT (PBE) results for an optimized crystal structure of Tc2Os5Ru2.

Calculated values
- formation enthalpy at 0 K (eV/atom) = 0.090
- SG = C2/m (12)

Lattice parameters (Å, degrees): 3.854 4.718 8.170 73.28 76.36 65.89
Fractional positions:
Tc: 0.667 0.222 0.444
Ru: 0.333 0.445 0.888
Os: 0.666 0.892 0.777
Tc: 0.333 0.778 0.556
Os: 0.334 0.108 0.223
Os: 0.002 0.665 0.332
Ru: 0.667 0.555 0.112
Os: 0.998 0.335 0.668
Os: 0.000 0.000 0.000

[24]
DFT (PBE) results for an optimized crystal structure of Tc6OsRu3.

Calculated values
- formation enthalpy at 0 K (eV/atom) = -0.004
- SG = P1 (1)

Lattice parameters (Å, degrees): 4.754 7.278 8.769 90.00 90.00 70.83
Fractional positions:
Ru: 0.001 0.000 0.475
Ru: 0.667 0.998 0.225
Tc: 0.602 0.800 0.974
Tc: 0.802 0.399 0.976
Tc: 0.398 0.199 0.976
Tc: 0.603 0.801 0.476
Os: 0.802 0.398 0.475
Tc: 0.198 0.601 0.476
Os: 0.000 0.000 0.975
Tc: 0.732 0.202 0.725
Ru: 0.333 0.001 0.725
Tc: 0.135 0.402 0.725
Tc: 0.532 0.602 0.724
Tc: 0.468 0.399 0.224
Ru: 0.198 0.602 0.975
Ru: 0.066 0.200 0.225
Tc: 0.397 0.201 0.474
Ru: 0.934 0.800 0.725
Tc: 0.864 0.598 0.225
Tc: 0.267 0.799 0.225

[25]
DFT (PBE) results for an optimized crystal structure of TcOs2Ru.

Calculated values
- formation enthalpy at 0 K (eV/atom) = -0.058
- SG = Pmm2 (25)
- excess energy over the best structure of this formula in the dataset (meV/atom) = 0

Lattice parameters (Å, degrees): 4.357 2.744 4.757 90.00 90.00 90.00
Fractional positions:
Os: 0.000 0.875 0.040
Tc: 0.500 0.875 0.709
Ru: 0.000 0.375 0.545
Os: 0.500 0.375 0.206

[26]
DFT (PBE) results for an optimized crystal structure of TcOsRu2.

Calculated values
- formation enthalpy at 0 K (eV/atom) = 0.062
- SG = Amm2 (38)
- excess energy over the best structure of this formula in the dataset (meV/atom) = 123

Lattice parameters (Å, degrees): 2.732 5.135 8.463 90.00 90.00 74.57
Fractional positions:
Tc: 0.359 0.913 0.571
Os: 0.122 0.385 0.071
Ru: 0.735 0.160 0.797
Ru: 0.735 0.160 0.345
Os: 0.850 0.926 0.071
Ru: 0.475 0.679 0.296
Tc: 0.090 0.447 0.571
Ru: 0.475 0.679 0.845